Entry 1:
# Ba2Tl6InHg (PBE, relaxed)
data_Ba2Tl6InHg
_symmetry_space_group_name_H-M 'R -3 m'
_symmetry_Int_Tables_number 166
_symmetry_space_group_name_Hall '-R 3 2"'
_cell_length_a 7.9019
_cell_length_b 7.9019
_cell_length_c 40.0270
_cell_angle_alpha 90.00
_cell_angle_beta 90.00
_cell_angle_gamma 120.00
loop_
_atom_site_label
_atom_site_fract_x
_atom_site_fract_y
_atom_site_fract_z
Ba1 0.0000 0.0000 0.1090
Ba2 0.0000 0.0000 0.2836
Tl1 0.0514 0.5257 0.3002
Tl2 0.0610 0.5305 0.8666
In1 0.0000 0.0000 0.4266
Hg1 0.0000 0.0000 0.0000
Hg2 0.0000 0.0000 0.5000
# formation energy	-121	meV/atom
# M_tot	0.00	μB per cell
# mass density	8361	kg/m³
# uncorrected energy	-133.7	eV per cell

=====

Entry 2:
# RbNpF2 (PBE, relaxed)
data_RbNpF2
_symmetry_space_group_name_H-M 'R -3 m'
_symmetry_Int_Tables_number 166
_symmetry_space_group_name_Hall '-R 3 2"'
_cell_length_a 3.6524
_cell_length_b 3.6524
_cell_length_c 25.2156
_cell_angle_alpha 90.00
_cell_angle_beta 90.00
_cell_angle_gamma 120.00
loop_
_atom_site_label
_atom_site_fract_x
_atom_site_fract_y
_atom_site_fract_z
Rb1 0.0000 0.0000 0.0000
Np1 0.0000 0.0000 0.5000
F1 0.0000 0.0000 0.1069
# M_tot	16.61	μB per cell
# mass density	6164	kg/m³
# formation energy (no corrections)	-1.803	eV/atom
# uncorrected energy	-74.6	eV per cell

=====

Entry 3:
# LiMg2ScSe (PBE, relaxed)
data_LiMg2ScSe
_symmetry_space_group_name_H-M 'P 4/m m m'
_symmetry_Int_Tables_number 123
_symmetry_space_group_name_Hall '-P 4 2'
_cell_length_a 5.648
_cell_length_b 5.648
_cell_length_c 5.338
_cell_angle_alpha 90.00
_cell_angle_beta 90.00
_cell_angle_gamma 90.00
loop_
_atom_site_label
_atom_site_fract_x
_atom_site_fract_y
_atom_site_fract_z
Li1 0.000 0.000 0.000
Mg1 0.000 0.500 0.500
Sc1 0.000 0.000 0.500
Se1 0.500 0.500 0.000
# M_tot	1.17	μB per cell
# mass density	1750	kg/m³
# formation energy (no corrections)	0.886	eV/atom
# uncorrected energy	-10.5	eV per cell

=====

Entry 4:
# CaLa2Ag (PBE, relaxed)
data_CaLa2Ag
_symmetry_space_group_name_H-M 'I 4/m m m'
_symmetry_Int_Tables_number 139
_symmetry_space_group_name_Hall '-I 4 2'
_cell_length_a 4.762
_cell_length_b 4.762
_cell_length_c 11.086
_cell_angle_alpha 90.00
_cell_angle_beta 90.00
_cell_angle_gamma 90.00
loop_
_atom_site_label
_atom_site_fract_x
_atom_site_fract_y
_atom_site_fract_z
Ca1 0.000 0.000 0.000
La1 0.000 0.500 0.250
Ag1 0.000 0.000 0.500
# excess energy over the best structure of this formula in the dataset	124	meV per atom
# formation energy	33	meV/atom
# M_tot	0.01	μB per cell
# mass density	5626	kg/m³
# uncorrected energy	-29.2	eV per cell

=====

Entry 5:
# Mg2Al17 (PBE, relaxed)
data_Mg2Al17
_symmetry_space_group_name_H-M 'R -3 m'
_symmetry_Int_Tables_number 166
_symmetry_space_group_name_Hall '-R 3 2"'
_cell_length_a 9.2980
_cell_length_b 9.2980
_cell_length_c 13.8824
_cell_angle_alpha 90.00
_cell_angle_beta 90.00
_cell_angle_gamma 120.00
loop_
_atom_site_label
_atom_site_fract_x
_atom_site_fract_y
_atom_site_fract_z
Mg1 0.0000 0.0000 0.1397
Al1 0.0000 0.0000 0.4015
Al2 0.0000 0.3019 0.5000
Al3 0.0000 0.5000 0.0000
Al4 0.0046 0.5023 0.6510
# formation energy	75	meV/atom
# M_tot	0.00	μB per cell
# mass density	2431	kg/m³
# uncorrected energy	-196.2	eV per cell

=====

Entry 6:
# Cs2TmHBr6 (PBE, relaxed)
data_Cs2TmHBr6
_symmetry_space_group_name_H-M 'P -1'
_symmetry_Int_Tables_number 2
_cell_length_a 7.537
_cell_length_b 7.769
_cell_length_c 7.783
_cell_angle_alpha 110.17
_cell_angle_beta 108.04
_cell_angle_gamma 108.24
loop_
_symmetry_equiv_pos_as_xyz
'x,y,z'
'-x,-y,-z'
loop_
_atom_site_label
_atom_site_fract_x
_atom_site_fract_y
_atom_site_fract_z
Cs1 0.000 0.230 0.271
Tm1 0.500 0.500 0.000
H1 0.500 0.000 0.500
Br1 0.071 0.332 0.832
Br2 0.399 0.133 0.633
Br3 0.499 0.285 0.213
# M_tot	0.00	μB per cell
# mass density	4233	kg/m³
# uncorrected energy	-34.5	eV per cell

=====

Entry 7:
# Gd3HoCo (PBE, relaxed)
data_Gd3HoCo
_symmetry_space_group_name_H-M 'P m -3 m'
_symmetry_Int_Tables_number 221
_symmetry_space_group_name_Hall '-P 4 2 3'
_cell_length_a 5.306
_cell_length_b 5.306
_cell_length_c 5.306
_cell_angle_alpha 90.00
_cell_angle_beta 90.00
_cell_angle_gamma 90.00
loop_
_atom_site_label
_atom_site_fract_x
_atom_site_fract_y
_atom_site_fract_z
Gd1 0.000 0.000 0.500
Ho1 0.500 0.500 0.500
Co1 0.000 0.000 0.000
# formation energy	12	meV/atom
# M_tot	22.74	μB per cell
# mass density	7733	kg/m³
# uncorrected energy	-53.9	eV per cell

=====

Entry 8:
# TbBiPb2 (PBE, relaxed)
data_TbBiPb2
_symmetry_space_group_name_H-M 'P 4/m m m'
_symmetry_Int_Tables_number 123
_symmetry_space_group_name_Hall '-P 4 2'
_cell_length_a 4.842
_cell_length_b 4.842
_cell_length_c 5.067
_cell_angle_alpha 90.00
_cell_angle_beta 90.00
_cell_angle_gamma 90.00
loop_
_atom_site_label
_atom_site_fract_x
_atom_site_fract_y
_atom_site_fract_z
Tb1 0.000 0.000 0.000
Bi1 0.500 0.500 0.000
Pb1 0.000 0.500 0.500
# formation energy	-316	meV/atom
# M_tot	0.00	μB per cell
# mass density	10936	kg/m³
# uncorrected energy	-17.2	eV per cell

=====

Entry 9:
# CaHgIr (PBE, relaxed)
data_CaHgIr
_symmetry_space_group_name_H-M 'P 3 m 1'
_symmetry_Int_Tables_number 156
_cell_length_a 3.2700
_cell_length_b 3.2700
_cell_length_c 6.9261
_cell_angle_alpha 90.00
_cell_angle_beta 90.00
_cell_angle_gamma 120.00
loop_
_symmetry_equiv_pos_as_xyz
'x,y,z'
'-y,x-y,z'
'-x+y,-x,z'
'-y,-x,z'
'-x+y,y,z'
'x,x-y,z'
loop_
_atom_site_label
_atom_site_fract_x
_atom_site_fract_y
_atom_site_fract_z
Ca1 0.0000 0.0000 0.0000
Hg1 0.6667 0.3333 0.3756
Ir1 0.3333 0.6667 0.6950
# formation energy	170	meV/atom
# M_tot	0.00	μB per cell
# mass density	11208	kg/m³
# uncorrected energy	-10.7	eV per cell

=====

Entry 10:
# Sc3ZnC (PBE, relaxed)
data_Sc3ZnC
_symmetry_space_group_name_H-M 'C 1 2/c 1'
_symmetry_Int_Tables_number 15
_cell_length_a 14.136
_cell_length_b 10.007
_cell_length_c 5.773
_cell_angle_alpha 90.00
_cell_angle_beta 112.84
_cell_angle_gamma 90.00
loop_
_symmetry_equiv_pos_as_xyz
'x,y,z'
'-x,-y,-z'
'-x,y,-z+1/2'
'x,-y,z+1/2'
'x+1/2,y+1/2,z'
'-x+1/2,-y+1/2,-z'
'-x+1/2,y+1/2,-z+1/2'
'x+1/2,-y+1/2,z+1/2'
loop_
_atom_site_label
_atom_site_fract_x
_atom_site_fract_y
_atom_site_fract_z
Sc1 0.125 0.068 0.056
Sc2 0.145 0.263 0.532
Sc3 0.180 0.417 0.102
Zn1 0.000 0.275 0.750
Zn2 0.000 0.462 0.250
C1 0.227 0.086 0.470
# excess energy over the best structure of this formula in the dataset	144	meV per atom
# formation energy	-293	meV/atom
# M_tot	0.00	μB per cell
# mass density	3748	kg/m³
# uncorrected energy	-247.7	eV per cell

=====

Entry 11:
# La4Pr3Mg (PBE, relaxed)
data_La4Pr3Mg
_symmetry_space_group_name_H-M 'P m n 21'
_symmetry_Int_Tables_number 31
_cell_length_a 10.506
_cell_length_b 7.230
_cell_length_c 7.305
_cell_angle_alpha 90.00
_cell_angle_beta 90.00
_cell_angle_gamma 90.00
loop_
_symmetry_equiv_pos_as_xyz
'x,y,z'
'-x+1/2,-y,z+1/2'
'-x,y,z'
'x+1/2,-y,z+1/2'
loop_
_atom_site_label
_atom_site_fract_x
_atom_site_fract_y
_atom_site_fract_z
La1 0.000 0.000 0.000
La2 0.000 0.500 0.499
La3 0.249 0.255 0.749
Pr1 0.000 0.000 0.499
Pr2 0.250 0.257 0.249
Mg1 0.000 0.500 0.000
# excess energy over the best structure of this formula in the dataset	0	meV per atom
# formation energy	-6	meV/atom
# M_tot	0.00	μB per cell
# mass density	6001	kg/m³
# uncorrected energy	-71.4	eV per cell

=====

Entry 12:
# SrSi2Se (PBE, relaxed)
data_SrSi2Se
_symmetry_space_group_name_H-M 'P 4/m m m'
_symmetry_Int_Tables_number 123
_symmetry_space_group_name_Hall '-P 4 2'
_cell_length_a 4.074
_cell_length_b 4.074
_cell_length_c 5.670
_cell_angle_alpha 90.00
_cell_angle_beta 90.00
_cell_angle_gamma 90.00
loop_
_atom_site_label
_atom_site_fract_x
_atom_site_fract_y
_atom_site_fract_z
Sr1 0.000 0.000 0.000
Si1 0.000 0.500 0.500
Se1 0.500 0.500 0.000
# M_tot	0.00	μB per cell
# mass density	3930	kg/m³
# formation energy (no corrections)	-0.100	eV/atom
# uncorrected energy	-16.4	eV per cell

=====

Which value of M_tot does entry 4 give? 0.01 μB per cell